Entry from the Alexandria database: a crystal of Al3Tc relaxed with PBEsol (meta-GGA SCAN).

Formation energy from the elements (eV/atom): -0.2869
Total energy (eV/atom): -14.87

```
Al3Tc
1.0
-1.039 -0.778 4.735
2.828 -4.013 -0.039
3.876 2.719 1.297
Tc Al
2 6
direct
0.000 0.000 0.000 Tc
0.500 0.500 0.500 Tc
0.750 0.500 0.000 Al
0.250 0.500 0.000 Al
0.000 0.750 0.500 Al
0.000 0.250 0.500 Al
0.500 0.000 0.250 Al
0.500 0.000 0.750 Al
```

---

Entry from the Alexandria database: a crystal of Al4Tc relaxed with PBEsol (meta-GGA SCAN).

Formation energy from the elements (eV/atom): 0.2527
Total energy (eV/atom): -12.96
ΔE to the lowest computed polymorph (meV per atom): 683

```
Al4Tc
1.0
3.466 0.000 0.000
0.000 3.466 0.000
-1.733 -1.733 6.709
Tc Al
1 4
direct
0.000 0.000 0.000 Tc
0.750 0.250 0.500 Al
0.250 0.750 0.500 Al
0.592 0.592 0.184 Al
0.408 0.408 0.816 Al
```

---

Entry from the Alexandria database: a crystal of Al4Tc relaxed with PBEsol (meta-GGA SCAN).

Formation energy from the elements (eV/atom): -0.3671
Total energy (eV/atom): -13.58
ΔE to the lowest computed polymorph (meV per atom): 63

```
Al4Tc
1.0
3.434 0.000 0.000
1.717 4.599 0.000
1.717 0.000 4.599
Tc Al
1 4
direct
0.000 0.000 0.000 Tc
0.603 0.193 0.600 Al
0.797 0.600 0.807 Al
0.397 0.807 0.400 Al
0.203 0.400 0.193 Al
```

---

Entry from the Alexandria database: a crystal of Al2Tc relaxed with PBEsol (meta-GGA SCAN).

Formation energy from the elements (eV/atom): -0.5186
Total energy (eV/atom): -17.37
ΔE to the lowest computed polymorph (meV per atom): 0

```
Al2Tc
1.0
4.466 0.000 0.000
0.000 4.510 0.000
0.000 -2.255 4.213
Tc Al
2 4
direct
0.750 0.772 0.000 Tc
0.250 0.228 0.000 Tc
0.750 0.124 0.683 Al
0.250 0.876 0.317 Al
0.750 0.440 0.317 Al
0.250 0.560 0.683 Al
```

---

Entry from the Alexandria database: a crystal of Al5Tc relaxed with PBEsol (meta-GGA SCAN).

Formation energy from the elements (eV/atom): -0.3502
Total energy (eV/atom): -12.65

```
Al5Tc
1.0
4.606 0.000 0.000
0.000 4.710 0.000
0.000 -2.355 4.079
Tc Al
1 5
direct
0.500 0.000 0.000 Tc
0.000 0.318 0.318 Al
0.000 0.682 0.000 Al
0.000 0.000 0.682 Al
0.500 0.333 0.667 Al
0.500 0.667 0.333 Al
```

---

Entry from the Alexandria database: a crystal of AlTc3 relaxed with PBEsol (meta-GGA SCAN).

Formation energy from the elements (eV/atom): -0.3475
Total energy (eV/atom): -28.58

```
AlTc3
1.0
-2.027 0.331 2.271
-2.659 -2.548 -2.001
4.059 -2.271 1.889
Tc Al
3 1
direct
0.500 0.500 0.000 Tc
0.750 0.250 0.499 Tc
0.250 0.750 0.501 Tc
0.000 0.000 0.000 Al
```

---

Entry from the Alexandria database: a crystal of Al2Tc relaxed with PBEsol (meta-GGA SCAN).

Formation energy from the elements (eV/atom): -0.5177
Total energy (eV/atom): -17.37
ΔE to the lowest computed polymorph (meV per atom): 1

```
Al2Tc
1.0
-1.959 2.491 -0.048
-1.698 -1.291 2.344
4.264 1.370 1.701
Tc Al
1 2
direct
0.500 0.500 0.000 Tc
0.158 0.158 0.316 Al
0.842 0.842 0.684 Al
```

---

Entry from the Alexandria database: a crystal of AlTcTe3 relaxed with PBEsol (meta-GGA SCAN).

ΔE_f (raw) (kJ per mole of atoms): 61.0
Total energy (eV/atom): -30.28

```
AlTcTe3
1.0
5.185 0.000 0.000
0.000 5.185 0.000
0.000 0.000 5.185
Te Tc Al
3 1 1
direct
0.000 0.500 0.000 Te
0.000 0.000 0.500 Te
0.500 0.000 0.000 Te
0.000 0.000 0.000 Tc
0.500 0.500 0.500 Al
```